VASP calculation (PBE) on a relaxed structure of Na4TaCd3O8.

The structure in POSCAR format:
```
Na4TaCd3O8
1.0
3.339 1.928 5.487
-3.339 1.928 5.487
0.000 -3.855 5.487
Na Ta Cd O
4 1 3 8
direct
0.000 0.000 0.000 Na
0.000 0.500 0.500 Na
0.500 0.000 0.500 Na
0.500 0.500 0.000 Na
0.500 0.500 0.500 Ta
0.000 0.000 0.500 Cd
0.000 0.500 0.000 Cd
0.500 0.000 0.000 Cd
0.237 0.237 0.237 O
0.284 0.284 0.715 O
0.284 0.715 0.284 O
0.285 0.716 0.716 O
0.715 0.284 0.284 O
0.716 0.285 0.716 O
0.716 0.716 0.285 O
0.763 0.763 0.763 O
```

Computed properties:
As for the uncorrected energy: -85.2 eV/cell. The crystal system is trigonal.

=====

VASP calculation (PBE) on a relaxed structure of Pa2AlCo3Ge4.

The structure in POSCAR format:
```
Pa2AlCo3Ge4
1.0
4.008 0.000 0.000
0.000 4.008 0.000
0.000 0.000 10.152
Pa Al Co Ge
2 1 3 4
direct
0.000 0.500 0.237 Pa
0.500 0.000 0.763 Pa
0.000 0.000 0.500 Al
0.000 0.500 0.871 Co
0.500 0.000 0.129 Co
0.500 0.500 0.500 Co
0.000 0.000 0.000 Ge
0.000 0.500 0.645 Ge
0.500 0.000 0.355 Ge
0.500 0.500 0.000 Ge
```

Computed properties:
Its formation energy from the elements is -0.509 eV per atom. The crystal system is tetragonal.

=====

VASP calculation (PBE) on a relaxed structure of ZnPdCl2.

The structure in POSCAR format:
```
ZnPdCl2
1.0
-2.959 2.959 5.088
2.959 -2.959 5.088
2.959 2.959 -5.088
Zn Pd Cl
2 2 4
direct
0.000 0.000 0.000 Zn
0.750 0.250 0.500 Zn
0.250 0.750 0.500 Pd
0.500 0.500 0.000 Pd
0.092 0.625 0.967 Cl
0.375 0.342 0.467 Cl
0.658 0.125 0.033 Cl
0.875 0.908 0.533 Cl
```

Computed properties:
The value obtained for the relative energy among the computed polymorphs is 0.30 eV per formula unit. The crystal system is tetragonal.

=====

VASP calculation (PBE) on a relaxed structure of Nd3DyEr5.

The structure in POSCAR format:
```
Nd3DyEr5
1.0
7.674 -5.626 0.000
7.674 5.626 0.000
-6.539 0.000 7.602
Nd Dy Er
6 2 10
direct
0.000 0.000 0.000 Nd
0.009 0.009 0.307 Nd
0.474 0.474 0.135 Nd
0.500 0.500 0.500 Nd
0.526 0.526 0.865 Nd
0.991 0.991 0.693 Nd
0.253 0.253 0.103 Dy
0.747 0.747 0.897 Dy
0.090 0.589 0.746 Er
0.215 0.215 0.724 Er
0.241 0.759 0.500 Er
0.279 0.279 0.466 Er
0.411 0.910 0.254 Er
0.589 0.090 0.746 Er
0.721 0.721 0.534 Er
0.759 0.241 0.500 Er
0.785 0.785 0.276 Er
0.910 0.411 0.254 Er
```

Computed properties:
Its formation energy from the elements is 0.529 eV per atom. The crystal system is monoclinic.

=====

VASP calculation (PBE) on a relaxed structure of ThSc2F11.

The structure in POSCAR format:
```
ThSc2F11
1.0
-3.955 5.007 5.519
3.955 -5.007 5.519
3.955 5.007 -5.519
Th Sc F
2 4 22
direct
0.250 0.250 0.000 Th
0.750 0.750 0.000 Th
0.191 0.654 0.845 Sc
0.309 0.154 0.464 Sc
0.691 0.846 0.536 Sc
0.809 0.346 0.155 Sc
0.000 0.500 0.500 F
0.040 0.972 0.284 F
0.046 0.348 0.137 F
0.188 0.472 0.932 F
0.198 0.391 0.588 F
0.211 0.908 0.863 F
0.289 0.152 0.697 F
0.302 0.891 0.193 F
0.312 0.244 0.284 F
0.454 0.592 0.303 F
0.460 0.744 0.932 F
0.500 0.000 0.500 F
0.540 0.256 0.068 F
0.546 0.408 0.697 F
0.688 0.756 0.716 F
0.698 0.109 0.807 F
0.711 0.848 0.303 F
0.789 0.092 0.137 F
0.802 0.609 0.412 F
0.812 0.528 0.068 F
0.954 0.652 0.863 F
0.960 0.028 0.716 F
```

Computed properties:
As for the uncorrected energy: -184.7 eV/cell. The crystal system is orthorhombic.

=====

VASP calculation (PBE) on a relaxed structure of HoEr2Tm.

The structure in POSCAR format:
```
HoEr2Tm
1.0
1.750 1.010 11.398
-1.750 1.010 11.398
0.000 -2.021 11.398
Ho Er Tm
1 2 1
direct
0.000 0.000 0.000 Ho
0.250 0.250 0.250 Er
0.750 0.750 0.750 Er
0.500 0.500 0.500 Tm
```

Computed properties:
The value obtained for the relative energy among the computed polymorphs is 0.11 eV per formula unit. Its formation energy from the elements is 0.025 eV per atom. The crystal system is trigonal.